A relaxed structure of Er6Cd5Bi, computed with PBE.

Structure (POSCAR):
```
Er6Cd5Bi
1.0
5.100 0.025 -1.481
-1.009 6.459 -3.363
-0.087 0.565 9.145
Cd Bi Er
5 1 6
Direct
0.673 0.173 0.347
0.333 0.333 0.666
0.000 0.500 0.000
0.667 0.667 0.334
0.327 0.827 0.653
0.000 0.000 0.000
0.832 0.580 0.663
0.832 0.083 0.663
0.500 0.746 0.000
0.500 0.254 0.000
0.168 0.917 0.337
0.168 0.420 0.337
```

Calculated values
For the total energy, the calculation gives -3.338 eV/atom. As for the energy of formation: -352 meV per atom. The density of states at the Fermi level comes out at 11.7 states/eV per cell. The calculation puts the total magnetic moment at 0.000 μB per atom.



A relaxed structure of ErCdBi, computed with PBE.

Structure (POSCAR):
```
ErCdBi
1.0
-0.765 1.759 3.031
-1.233 -3.331 -0.500
12.596 -5.630 6.445
Bi Er Cd
2 2 2
Direct
0.611 0.221 0.000
0.279 0.557 0.500
0.611 0.223 0.333
0.611 0.223 0.667
0.277 0.555 0.827
0.277 0.555 0.173
```

Calculated values
For the total energy, the calculation gives -3.301 eV/atom. As for the energy of formation: -182 meV per atom. The density of states at the Fermi level comes out at 5.0 states/eV per cell. The calculation puts the total magnetic moment at 0.000 μB per atom. Its excess energy over the best structure of this formula in the dataset is 0.091 eV/atom.



A relaxed structure of Er7Cd2Bi2, computed with PBE.

Structure (POSCAR):
```
Er7Cd2Bi2
1.0
7.271 -0.003 -0.281
0.003 6.855 0.003
-0.733 -0.003 7.239
Er Cd Bi
7 2 2
Direct
0.000 0.254 0.500
0.500 0.746 0.000
0.000 0.746 0.500
0.500 0.254 0.000
0.000 0.000 0.000
0.500 0.751 0.500
0.500 0.249 0.500
0.726 0.000 0.274
0.274 0.000 0.726
0.799 0.500 0.799
0.201 0.500 0.201
```

Calculated values
For the total energy, the calculation gives -3.803 eV/atom. As for the energy of formation: -28 meV per atom. The density of states at the Fermi level comes out at 12.1 states/eV per cell. The calculation puts the total magnetic moment at 0.067 μB per atom.



A relaxed structure of ErCdBi2, computed with PBE.

Structure (POSCAR):
```
ErCdBi2
1.0
-0.819 -1.752 -3.777
-4.426 -1.800 1.794
-2.343 4.286 -1.480
Cd Bi Er
1 2 1
Direct
0.500 0.000 0.000
0.000 0.000 0.500
0.000 0.500 0.000
0.500 0.500 0.500
```

Calculated values
For the total energy, the calculation gives -3.643 eV/atom. As for the energy of formation: -333 meV per atom. The density of states at the Fermi level comes out at 2.1 states/eV per cell. The calculation puts the total magnetic moment at 0.000 μB per atom.